1.
Density functional theory data (PBE-GGA) for a relaxed Na3MgCr crystal.

Calculated values
Energy above the most stable polymorph in this dataset (meV per atom): 94.5
ΔE_f (eV per atom): 0.88
Density of states at the Fermi level (states/eV per atom): 0.56

CIF file:
```
data_Na3MgCr
_cell_length_a 5.816
_cell_length_b 5.816
_cell_length_c 5.816
_cell_angle_alpha 90.00
_cell_angle_beta 90.00
_cell_angle_gamma 90.00
_space_group_name_H-M_alt 'P m -3 m'
_space_group_IT_number 221
_space_group_name_Hall '-P 4 2 3'
loop_
_atom_site_label
_atom_site_type_symbol
_atom_site_fract_x
_atom_site_fract_y
_atom_site_fract_z
Na1 Na 0.000 0.000 0.500
Mg1 Mg 0.000 0.000 0.000
Cr1 Cr 0.500 0.500 0.500
```

2.
Density functional theory data (PBE-GGA) for a relaxed Na2MgCr crystal.

Calculated values
ΔE_f (eV per atom): 0.68
Density of states at the Fermi level (states/eV per atom): 0.46

CIF file:
```
data_Na2MgCr
_cell_length_a 8.650
_cell_length_b 8.650
_cell_length_c 6.001
_cell_angle_alpha 90.00
_cell_angle_beta 90.00
_cell_angle_gamma 90.00
_space_group_name_H-M_alt 'I -4 2 d'
_space_group_IT_number 122
_space_group_name_Hall 'I -4 2bw'
loop_
_atom_site_label
_atom_site_type_symbol
_atom_site_fract_x
_atom_site_fract_y
_atom_site_fract_z
Na1 Na 0.240 0.750 0.125
Mg1 Mg 0.000 0.000 0.500
Cr1 Cr 0.000 0.000 0.000
```

Please write out number 1 again, unchanged.
Density functional theory data (PBE-GGA) for a relaxed Na3MgCr crystal.

Calculated values
Energy above the most stable polymorph in this dataset (meV per atom): 94.5
ΔE_f (eV per atom): 0.88
Density of states at the Fermi level (states/eV per atom): 0.56

CIF file:
```
data_Na3MgCr
_cell_length_a 5.816
_cell_length_b 5.816
_cell_length_c 5.816
_cell_angle_alpha 90.00
_cell_angle_beta 90.00
_cell_angle_gamma 90.00
_space_group_name_H-M_alt 'P m -3 m'
_space_group_IT_number 221
_space_group_name_Hall '-P 4 2 3'
loop_
_atom_site_label
_atom_site_type_symbol
_atom_site_fract_x
_atom_site_fract_y
_atom_site_fract_z
Na1 Na 0.000 0.000 0.500
Mg1 Mg 0.000 0.000 0.000
Cr1 Cr 0.500 0.500 0.500
```

Question: ΔE_f of number 2 (Na2MgCr)?
Answer: 0.68 eV per atom

Question: Among the records above, which one has the lowest ΔE_f?
Answer: Na2MgCr